5
Lattice="5.1018 0.0000 0.0000 0.0000 6.0272 0.0000 0.0000 0.0000 5.1018" Properties=species:S:1:pos:R:3 comment="CaTcSn2I | Alexandria via LeMat-Bulk | PBE | relaxed" raw_formation_energy_ev_per_atom=0.098 total_magnetization_mub_per_atom=0.000 rho_g_cm3=5.32 space_group="P4/mmm, No. 123" crystal_system=tetragonal pbc="T T T"
Sn 2.5509 0.0000 0.0000
Sn 0.0000 0.0000 2.5509
I 0.0000 3.0136 0.0000
Tc 0.0000 0.0000 0.0000
Ca 2.5509 3.0136 2.5509


4
Lattice="0.0000 3.0464 3.0464 3.0464 0.0000 3.0464 3.0464 3.0464 0.0000" Properties=species:S:1:pos:R:3 comment="RhCl2F | Alexandria via LeMat-Bulk | PBE | relaxed" raw_formation_energy_ev_per_atom=0.000 total_magnetization_mub_per_atom=0.000 rho_g_cm3=5.66 space_group="Fm-3m, No. 225" de_polymorph_ev_per_atom=0.845 crystal_system=cubic pbc="T T T"
Rh 3.0464 3.0464 3.0464
Cl 1.5232 1.5232 1.5232
Cl 4.5696 4.5696 4.5696
F 0.0000 0.0000 0.0000


5
Lattice="4.3806 0.0000 0.0000 0.0000 4.3806 0.0000 0.0000 0.0000 6.3921" Properties=species:S:1:pos:R:3 comment="ZnI2N2 | Alexandria via LeMat-Bulk | PBE | relaxed" raw_formation_energy_ev_per_atom=1.581 total_magnetization_mub_per_atom=0.829 rho_g_cm3=4.70 space_group="P4/mmm, No. 123" de_polymorph_ev_per_atom=1.857 crystal_system=tetragonal pbc="T T T"
I 0.0000 0.0000 3.1960
I 2.1903 2.1903 3.1960
Zn 0.0000 0.0000 0.0000
N 2.1903 0.0000 0.0000
N 0.0000 2.1903 0.0000


4
Lattice="-1.4856 3.3632 4.8228 -1.9352 -0.0451 5.7472 1.3246 1.3859 5.7535" Properties=species:S:1:pos:R:3 comment="YPN2 | Alexandria via LeMat-Bulk | PBE | relaxed" raw_formation_energy_ev_per_atom=-0.510 total_magnetization_mub_per_atom=0.000 rho_g_cm3=3.92 space_group="R-3m, No. 166" crystal_system=trigonal pbc="T T T"
P 0.0000 0.0000 0.0000
N -0.2012 0.4514 1.5665
N -1.8951 4.2526 14.7570
Y -1.0481 2.3520 8.1618


11
Lattice="-4.9791 -2.7349 1.2508 -0.7877 -2.0042 -7.5180 4.9907 -2.9758 0.2704" Properties=species:S:1:pos:R:3 comment="Cd7Rh2Au2 | Alexandria via LeMat-Bulk | PBE | relaxed" total_magnetization_mub_per_atom=0.000 rho_g_cm3=9.94 space_group="Cmmm, No. 65" delta_e_f_ev_per_atom=-0.009 crystal_system=orthorhombic pbc="T T T"
Au -0.3850 -5.3674 -2.5962
Au -0.3911 -2.3475 -3.4006
Cd -2.7284 -1.9752 -1.6542
Cd -0.1426 -3.2329 -0.6556
Cd -0.6336 -4.4820 -5.3412
Cd 1.9523 -5.7398 -4.3426
Cd 0.0000 0.0000 0.0000
Cd 1.9464 -2.8844 -5.1032
Cd -2.7226 -4.8305 -0.8936
Rh 1.5082 -4.9149 -6.9826
Rh -2.2843 -2.8000 0.9858


12
Lattice="1.2544 6.7888 -0.3705 -1.2544 6.7888 -0.3705 0.0000 1.0785 4.9092" Properties=species:S:1:pos:R:3 comment="B2C | Alexandria via LeMat-Bulk | PBE | relaxed" total_magnetization_mub_per_atom=0.000 rho_g_cm3=2.64 space_group="Cm, No. 8" delta_e_f_ev_per_atom=0.458 de_polymorph_ev_per_atom=0.273 crystal_system=monoclinic pbc="T T T"
B 0.0000 13.3091 -0.4920
B 0.0000 6.2848 2.5842
B 0.0000 1.9399 3.5765
B 0.0000 9.4565 0.2058
B 0.0000 1.3804 0.6986
B 0.0000 0.5500 2.3107
B 0.0000 9.9644 2.7547
B 0.0000 4.5959 1.2456
C 0.0000 5.3729 3.8551
C 0.0000 10.6442 1.3168
C 0.0000 5.5246 -0.0278
C 0.0000 11.3161 3.6698


8
Lattice="-2.1749 -5.6383 5.1083 -4.4765 -6.4114 1.2120 -0.1019 -7.7493 1.5979" Properties=species:S:1:pos:R:3 comment="BiPd6Se | Alexandria via LeMat-Bulk | PBE | relaxed" raw_formation_energy_ev_per_atom=-0.156 total_magnetization_mub_per_atom=0.000 rho_g_cm3=11.30 space_group="R-3m, No. 166" crystal_system=trigonal pbc="T T T"
Se -3.3767 -9.8995 3.9591
Pd -0.8935 -2.6196 1.0477
Pd -5.0239 -14.7289 5.8905
Pd -2.5958 -7.6102 3.0435
Pd -4.1576 -12.1888 4.8747
Pd -5.8598 -17.1794 6.8706
Pd -1.7294 -5.0701 2.0277
Bi 0.0000 0.0000 0.0000


5
Lattice="3.1468 -0.0310 -0.0213 -0.5881 5.0606 0.0289 -1.4822 -0.9965 6.5119" Properties=species:S:1:pos:R:3 comment="Mg2V2Bi | Alexandria via LeMat-Bulk | PBE | relaxed" total_magnetization_mub_per_atom=0.000 rho_g_cm3=5.77 space_group="P-1, No. 2" delta_e_f_ev_per_atom=0.292 de_polymorph_ev_per_atom=0.099 crystal_system=triclinic pbc="T T T"
Mg 0.8373 0.0458 1.7548
Mg 0.2392 3.9873 4.7647
V -0.6453 1.3583 3.8791
V 1.7218 2.6748 2.6404
Bi -0.2941 2.5303 0.0145